Entry 1:
A plane-wave DFT calculation with PBE-GGA was carried out for a geometry-optimized LiY3Tm3Se8 structure.

Computed properties:
density = 6.35 g/cm3
E_tot = -5.949 eV/atom
space group = R-3m

a b c (Å): 8.0462 8.0463 8.0629
angles (deg): 119.93 90.00 120.00
Last column: nearest neighbours and their distance in Å.
Atoms (fractional coordinates):
Li  0.0000  0.0000  0.5000  6 Se 2.82
Y  0.0000  0.0000  0.0000  6 Se 2.87
Y  0.0000  0.5000  0.0000  6 Se 2.87
Y  0.5000  0.5000  0.0000  6 Se 2.87
Tm  0.5000  0.0000  0.5000  6 Se 2.83
Tm  0.5000  0.5000  0.5000  6 Se 2.83
Tm  0.0000  0.5000  0.5000  6 Se 2.83
Se  0.2518  0.5036  0.2554  3 Tm 2.83, 3 Y 2.87
Se  0.7482  0.4964  0.7446  3 Tm 2.83, 3 Y 2.87
Se  0.7525  0.5050  0.2563  1 Li 2.82, 2 Tm 2.83, 2 Y 2.87
Se  0.2475  0.4950  0.7437  1 Li 2.82, 2 Tm 2.83, 2 Y 2.87
Se  0.7525  0.0038  0.2563  1 Li 2.82, 2 Tm 2.83, 2 Y 2.87
Se  0.2475  0.9962  0.7437  1 Li 2.82, 2 Tm 2.83, 2 Y 2.87
Se  0.2513  0.0038  0.2563  1 Li 2.82, 2 Tm 2.83, 2 Y 2.87
Se  0.7487  0.9962  0.7437  1 Li 2.82, 2 Tm 2.83, 2 Y 2.87


Entry 2:
A plane-wave DFT calculation with PBE-GGA was carried out for a geometry-optimized Li2Y3TmSe6 structure.

Computed properties:
density = 5.53 g/cm3
E_tot = -5.782 eV/atom
space group = C2/m

a b c (Å): 6.9717 6.9717 6.9873
angles (deg): 99.57 99.57 119.99
Last column: nearest neighbours and their distance in Å.
Atoms (fractional coordinates):
Li  0.3328  0.6672  0.0000  6 Se 2.80-2.81
Li  0.6672  0.3328  0.0000  6 Se 2.80-2.81
Y  0.1668  0.8332  0.5000  6 Se 2.87-2.90
Y  0.8332  0.1668  0.5000  6 Se 2.87-2.90
Y  0.5000  0.5000  0.5000  6 Se 2.87-2.90
Tm  0.0000  0.0000  0.0000  6 Se 2.83
Se  0.9201  0.5836  0.7608  2 Li 2.80, 1 Tm 2.83, 3 Y 2.87-2.90
Se  0.7437  0.7437  0.2404  2 Li 2.81, 1 Tm 2.83, 3 Y 2.87-2.90
Se  0.0799  0.4164  0.2392  2 Li 2.80, 1 Tm 2.83, 3 Y 2.87-2.90
Se  0.5836  0.9201  0.7608  2 Li 2.80, 1 Tm 2.83, 3 Y 2.87-2.90
Se  0.2563  0.2563  0.7596  2 Li 2.81, 1 Tm 2.83, 3 Y 2.87-2.90
Se  0.4164  0.0799  0.2392  2 Li 2.80, 1 Tm 2.83, 3 Y 2.87-2.90


Entry 3:
A plane-wave DFT calculation with PBE-GGA was carried out for a geometry-optimized LiY2TmSe4 structure.

Computed properties:
density = 5.99 g/cm3
E_tot = -5.893 eV/atom
space group = P2/m

a b c (Å): 4.0258 6.9802 6.9999
angles (deg): 109.25 90.00 90.00
Last column: nearest neighbours and their distance in Å.
Atoms (fractional coordinates):
Li  0.0000  0.0000  0.0000  6 Se 2.78-2.81
Y  0.5000  0.0000  0.5000  6 Se 2.87-2.88
Y  0.0000  0.5000  0.5000  6 Se 2.90-2.92
Tm  0.5000  0.5000  0.0000  6 Se 2.83
Se  0.5000  0.2436  0.2396  2 Li 2.81, 1 Tm 2.83, 3 Y 2.87-2.90
Se  0.5000  0.7564  0.7604  2 Li 2.81, 1 Tm 2.83, 3 Y 2.87-2.90
Se  0.0000  0.2480  0.7601  1 Li 2.78, 2 Tm 2.83, 3 Y 2.88-2.92
Se  0.0000  0.7520  0.2399  1 Li 2.78, 2 Tm 2.83, 3 Y 2.88-2.92


Entry 4:
A plane-wave DFT calculation with PBE-GGA was carried out for a geometry-optimized Li3YTm2Se6 structure.

Computed properties:
density = 5.57 g/cm3
E_tot = -5.202 eV/atom
space group = C2/m

a b c (Å): 6.9937 6.9937 6.8955
angles (deg): 99.73 99.73 120.00
Last column: nearest neighbours and their distance in Å.
Atoms (fractional coordinates):
Li  0.1669  0.8331  0.5000  6 Se 2.81-2.85
Li  0.8331  0.1669  0.5000  6 Se 2.81-2.85
Li  0.5000  0.5000  0.5000  6 Se 2.81-2.85
Y  0.0000  0.0000  0.0000  6 Se 2.86-2.87
Tm  0.3333  0.6667  0.0000  6 Se 2.84
Tm  0.6667  0.3333  0.0000  6 Se 2.84
Se  0.9162  0.5794  0.7487  3 Li 2.81-2.85, 2 Tm 2.84, 1 Y 2.86
Se  0.7472  0.7472  0.2519  3 Li 2.81-2.85, 2 Tm 2.84, 1 Y 2.87
Se  0.0838  0.4206  0.2513  3 Li 2.81-2.85, 2 Tm 2.84, 1 Y 2.86
Se  0.5794  0.9162  0.7487  3 Li 2.81-2.85, 2 Tm 2.84, 1 Y 2.86
Se  0.2528  0.2528  0.7481  3 Li 2.81-2.85, 2 Tm 2.84, 1 Y 2.87
Se  0.4206  0.0838  0.2513  3 Li 2.81-2.85, 2 Tm 2.84, 1 Y 2.86


Entry 5:
A plane-wave DFT calculation with PBE-GGA was carried out for a geometry-optimized LiY2Tm3Se6 structure.

Computed properties:
density = 6.95 g/cm3
E_tot = -5.820 eV/atom
space group = C2/m

a b c (Å): 4.0270 8.0692 9.0267
angles (deg): 102.98 102.89 90.00
Last column: nearest neighbours and their distance in Å.
Atoms (fractional coordinates):
Li  0.5000  0.0000  0.0000  6 Se 2.81-2.82
Y  0.8303  0.6589  0.6607  6 Se 2.85-2.92
Y  0.1697  0.3411  0.3393  6 Se 2.85-2.92
Tm  0.5000  0.5000  0.0000  6 Se 2.80-2.88
Tm  0.8329  0.1705  0.6658  6 Se 2.79-2.89
Tm  0.1671  0.8295  0.3342  6 Se 2.79-2.89
Se  0.3359  0.9228  0.6719  1 Li 2.81, 3 Tm 2.85-2.89, 2 Y 2.92
Se  0.6633  0.5876  0.3266  3 Tm 2.79-2.80, 3 Y 2.85-2.86
Se  0.6641  0.0772  0.3281  1 Li 2.81, 3 Tm 2.85-2.89, 2 Y 2.92
Se  0.9994  0.2449  0.9988  2 Li 2.82, 3 Tm 2.85-2.88, 1 Y 2.92
Se  0.0006  0.7551  0.0012  2 Li 2.82, 3 Tm 2.85-2.88, 1 Y 2.92
Se  0.3367  0.4124  0.6734  3 Tm 2.79-2.80, 3 Y 2.85-2.86


Entry 6:
A plane-wave DFT calculation with PBE-GGA was carried out for a geometry-optimized LiY3Tm2Se6 structure.

Computed properties:
density = 6.46 g/cm3
E_tot = -5.998 eV/atom
space group = C2/m

a b c (Å): 6.9732 6.9732 7.0270
angles (deg): 99.56 99.56 120.10
Last column: nearest neighbours and their distance in Å.
Atoms (fractional coordinates):
Li  0.0000  0.0000  0.0000  6 Se 2.76-2.77
Y  0.1665  0.8335  0.5000  6 Se 2.87-2.93
Y  0.8335  0.1665  0.5000  6 Se 2.87-2.93
Y  0.5000  0.5000  0.5000  6 Se 2.87-2.95
Tm  0.3347  0.6653  0.0000  6 Se 2.82-2.85
Tm  0.6653  0.3347  0.0000  6 Se 2.82-2.85
Se  0.9206  0.5942  0.7602  1 Li 2.77, 2 Tm 2.84-2.85, 3 Y 2.87-2.93
Se  0.7549  0.7549  0.2376  1 Li 2.76, 2 Tm 2.82, 3 Y 2.88-2.95
Se  0.0794  0.4058  0.2398  1 Li 2.77, 2 Tm 2.84-2.85, 3 Y 2.87-2.93
Se  0.5942  0.9206  0.7602  1 Li 2.77, 2 Tm 2.84-2.85, 3 Y 2.87-2.93
Se  0.2451  0.2451  0.7624  1 Li 2.76, 2 Tm 2.82, 3 Y 2.88-2.95
Se  0.4058  0.0794  0.2398  1 Li 2.77, 2 Tm 2.84-2.85, 3 Y 2.87-2.93